1.
# BaBiSbPt3 | the Alexandria database | PBE-GGA | optimized geometry
data_BaBiSbPt3
_chemical_formula_sum 'Ba4 Bi4 Sb4 Pt12'
_cell_length_a 5.960
_cell_length_b 16.711
_cell_length_c 6.805
_cell_angle_alpha 90.00
_cell_angle_beta 90.00
_cell_angle_gamma 90.00
_space_group_name_H-M_alt 'C m c m'
_space_group_IT_number 63
_space_group_name_Hall '-C 2c 2'
loop_
_atom_site_label
_atom_site_fract_x
_atom_site_fract_y
_atom_site_fract_z
Ba1 0.000 0.203 0.250
Bi1 0.000 0.097 0.750
Sb1 0.000 0.417 0.750
Pt1 0.000 0.259 0.750
Pt2 0.248 0.000 0.000
# Total DFT energy (no corrections) = -123.24 eV/cell

2.
# CrCo3Os | the Alexandria database | PBE-GGA | optimized geometry
data_CrCo3Os
_chemical_formula_sum 'Cr1 Co3 Os1'
_cell_length_a 4.091
_cell_length_b 4.091
_cell_length_c 4.091
_cell_angle_alpha 90.00
_cell_angle_beta 90.00
_cell_angle_gamma 90.00
_space_group_name_H-M_alt 'P m -3 m'
_space_group_IT_number 221
_space_group_name_Hall '-P 4 2 3'
loop_
_atom_site_label
_atom_site_fract_x
_atom_site_fract_y
_atom_site_fract_z
Cr1 0.000 0.000 0.000
Co1 0.000 0.000 0.500
Os1 0.500 0.500 0.500
# DFT formation energy = 7.3 eV per formula unit
# ΔE to the lowest computed polymorph = 0.0 meV per atom
# Total DFT energy (no corrections) = -34.83 eV/cell

3.
# NaCdSi | the Alexandria database | PBE-GGA | optimized geometry
data_NaCdSi
_chemical_formula_sum 'Na1 Cd1 Si1'
_cell_length_a 4.6472
_cell_length_b 4.6472
_cell_length_c 3.5208
_cell_angle_alpha 90.00
_cell_angle_beta 90.00
_cell_angle_gamma 120.00
_space_group_name_H-M_alt 'P -6 m 2'
_space_group_IT_number 187
_space_group_name_Hall 'P -6 2'
loop_
_atom_site_label
_atom_site_fract_x
_atom_site_fract_y
_atom_site_fract_z
Na1 0.0000 0.0000 0.0000
Cd1 0.3333 0.6667 0.5000
Si1 0.6667 0.3333 0.5000
# ΔE to the lowest computed polymorph = 116.3 meV per atom
# Total DFT energy (no corrections) = -7.34 eV/cell

4.
# Y2ThAl | the Alexandria database | PBE-GGA | optimized geometry
data_Y2ThAl
_chemical_formula_sum 'Y2 Th1 Al1'
_cell_length_a 4.823
_cell_length_b 4.823
_cell_length_c 4.786
_cell_angle_alpha 90.00
_cell_angle_beta 90.00
_cell_angle_gamma 90.00
_space_group_name_H-M_alt 'P 4/m m m'
_space_group_IT_number 123
_space_group_name_Hall '-P 4 2'
loop_
_atom_site_label
_atom_site_fract_x
_atom_site_fract_y
_atom_site_fract_z
Y1 0.000 0.500 0.000
Th1 0.000 0.000 0.500
Al1 0.500 0.500 0.500
# DFT formation energy = -0.5 eV per formula unit
# ΔE to the lowest computed polymorph = 60.0 meV per atom
# Total DFT energy (no corrections) = -24.62 eV/cell